No. 1
Pm4BiSb2Pb | Alexandria | GGA-PBE | relaxed; space group = P2/m (10); total DFT energy (no corrections) = -5.2798 eV/atom; D(E_F) = 4.08 states/eV/f.u.; total magnetic moment = 0.000 μB per formula unit; formation energy (no corrections) = -0.925 eV/atom
1.0
7.829 0.000 0.000
0.000 4.475 0.000
-2.555 0.000 7.487
Pm Bi Sb Pb
4 1 2 1
Direct
0.247 0.000 0.242
0.253 0.500 0.757
0.747 0.500 0.243
0.753 0.000 0.758
0.000 0.000 0.500
0.000 0.500 0.000
0.500 0.000 0.000
0.500 0.500 0.500

=====

No. 2
LiTb2Be | Alexandria | GGA-PBE | relaxed; space group = Fm-3m (225); total DFT energy (no corrections) = -3.5857 eV/atom; energy relative to the elements = 139 meV per atom; distance to the lowest polymorph of the same formula = 0.0452 eV per atom; D(E_F) = 5.08 states/eV/f.u.; total magnetic moment = 0.001 μB per formula unit
1.0
0.000 3.537 3.537
3.537 0.000 3.537
3.537 3.537 0.000
Li Tb Be
1 2 1
Direct
0.000 0.000 0.000
0.250 0.250 0.250
0.750 0.750 0.750
0.500 0.500 0.500

=====

Which value of D(E_F) does entry 2 give? 5.08 states/eV/f.u.

=====

What is the formula in the second record? LiTb2Be

=====

D(E_F) of number 1 (Pm4BiSb2Pb)? 4.08 states/eV/f.u.

=====

total DFT energy (no corrections) of number 1 (Pm4BiSb2Pb)? -5.2798 eV/atom